# HfTePd3

A geometry-optimized HfTePd3 structure (PBE, the Alexandria database).

E_form (uncorrected): 0.45 eV per atom
Total magnetization: 0.91 μB per cell
Density of states at the Fermi level: 1.081 states/eV/atom
Distance to the lowest polymorph of the same formula: 0.0000 eV/atom

Unit cell a=4.864 b=4.864 c=4.864 alpha=90.00 beta=90.00 gamma=90.00
Element x y z (fractional)
Hf 0.000 0.000 0.000
Te 0.500 0.500 0.500
Pd 0.000 0.500 0.500
Pd 0.500 0.000 0.500
Pd 0.500 0.500 0.000